Record 1
# Mn2NbPt9

An optimized crystal structure of Mn2NbPt9 (PBE-GGA, Alexandria via LeMat-Bulk).

The value obtained for the total energy is -88.46 eV per formula unit.

The structure belongs to space group P4/mmm (No. 123); the cell edges are 3.960, 3.960 and 11.867 Å and the angles 90.00°, 90.00° and 90.00°. Symmetry generates all atoms from Mn at (0.000, 0.000, 0.161), Nb at (0.000, 0.000, 0.500), Pt at (0.000, 0.500, 0.000), Pt at (0.000, 0.500, 0.334), Pt at (0.500, 0.500, 0.166) and Pt at (0.500, 0.500, 0.500).

=====

Record 2
# LaErN

An optimized crystal structure of LaErN (PBE-GGA, Alexandria via LeMat-Bulk).

The calculation puts the energy above the most stable polymorph in this dataset at 0.0592 eV/atom. The value obtained for the total energy is -20.53 eV per formula unit.

The structure belongs to space group P2_1/m (No. 11); the cell edges are 3.961, 4.894 and 8.226 Å and the angles 90.00°, 103.54° and 90.00°. Symmetry generates all atoms from La at (0.156, 0.250, 0.320), Er at (0.437, 0.250, 0.869) and N at (0.430, 0.750, 0.855).

=====

Record 3
# BaDyTlSn

An optimized crystal structure of BaDyTlSn (PBE-GGA, Alexandria via LeMat-Bulk).

The value obtained for the total energy is -14.35 eV per formula unit.

The structure belongs to space group F-43m (No. 216); the cell edges are 8.042, 8.042 and 8.042 Å and the angles 90.00°, 90.00° and 90.00°. Symmetry generates all atoms from Ba at (0.000, 0.000, 0.000), Dy at (0.000, 0.000, 0.500), Tl at (0.250, 0.250, 0.250) and Sn at (0.250, 0.250, 0.750).

=====

Record 4
# BaTiTe2O

An optimized crystal structure of BaTiTe2O (PBE-GGA, Alexandria via LeMat-Bulk).

The value obtained for the total energy is -19.68 eV per formula unit.

The structure belongs to space group P4/mmm (No. 123); the cell edges are 6.386, 6.386 and 4.312 Å and the angles 90.00°, 90.00° and 90.00°. Symmetry generates all atoms from Ba at (0.000, 0.000, 0.000), Ti at (0.500, 0.500, 0.500), Te at (0.000, 0.500, 0.000) and O at (0.000, 0.000, 0.500).

=====

Record 5
# SmScCuHg

An optimized crystal structure of SmScCuHg (PBE-GGA, Alexandria via LeMat-Bulk).

The value obtained for the total energy is -16.55 eV per formula unit.

The structure belongs to space group F-43m (No. 216); the cell edges are 7.119, 7.119 and 7.119 Å and the angles 90.00°, 90.00° and 90.00°. Symmetry generates all atoms from Sm at (0.000, 0.000, 0.000), Sc at (0.000, 0.000, 0.500), Cu at (0.250, 0.250, 0.250) and Hg at (0.250, 0.250, 0.750).

=====

Record 6
# LiGdThPt

An optimized crystal structure of LiGdThPt (PBE-GGA, Alexandria via LeMat-Bulk).

The value obtained for the total energy is -31.38 eV per formula unit.

The structure belongs to space group F-43m (No. 216); the cell edges are 7.211, 7.211 and 7.211 Å and the angles 90.00°, 90.00° and 90.00°. Symmetry generates all atoms from Li at (0.000, 0.000, 0.000), Gd at (0.250, 0.250, 0.250), Th at (0.250, 0.250, 0.750) and Pt at (0.000, 0.000, 0.500).

=====

Record 7
# RbBeNiH6

An optimized crystal structure of RbBeNiH6 (PBE-GGA, Alexandria via LeMat-Bulk).

The value obtained for the total energy is -31.46 eV per formula unit.

The structure belongs to space group P312 (No. 149); the cell edges are 4.2721, 4.2721 and 5.7929 Å and the angles 90.00°, 90.00° and 120.00°. Symmetry generates all atoms from Rb at (0.0000, 0.0000, 0.0000), Be at (0.3333, 0.6667, 0.5000), Ni at (0.6667, 0.3333, 0.5000) and H at (0.4447, 0.0040, 0.6668).

=====

Record 8
# ErPuBi3

An optimized crystal structure of ErPuBi3 (PBE-GGA, Alexandria via LeMat-Bulk).

The value obtained for the total energy is -32.48 eV per formula unit.

The structure belongs to space group Pbcm (No. 57); the cell edges are 14.128, 6.291 and 6.793 Å and the angles 90.00°, 90.00° and 90.00°. Symmetry generates all atoms from Er at (0.106, 0.250, 0.000), Pu at (0.322, 0.515, 0.250), Bi at (0.086, 0.711, 0.250), Bi at (0.272, 0.013, 0.250) and Bi at (0.495, 0.250, 0.000).

=====

Record 9
# RbNaPb

An optimized crystal structure of RbNaPb (PBE-GGA, Alexandria via LeMat-Bulk).

The calculation puts the energy above the most stable polymorph in this dataset at 0.0814 eV/atom. The value obtained for the total energy is -6.15 eV per formula unit.

The structure belongs to space group I4mm (No. 107); the cell edges are 4.202, 4.202 and 13.762 Å and the angles 90.00°, 90.00° and 90.00°. Symmetry generates all atoms from Rb at (0.000, 0.000, 0.000), Na at (0.000, 0.000, 0.713) and Pb at (0.000, 0.000, 0.313).

=====

Record 10
# SrLaY

An optimized crystal structure of SrLaY (PBE-GGA, Alexandria via LeMat-Bulk).

The calculation puts the energy above the most stable polymorph in this dataset at 0.0661 eV/atom. The value obtained for the total energy is -12.55 eV per formula unit.

The structure belongs to space group Fmm2 (No. 42); the cell edges are 4.106, 6.137 and 18.964 Å and the angles 90.00°, 90.00° and 90.00°. Symmetry generates all atoms from Sr at (0.000, 0.000, 0.000), La at (0.000, 0.000, 0.316) and Y at (0.000, 0.000, 0.669).

=====

Record 11
# La2PmDyH

An optimized crystal structure of La2PmDyH (PBE-GGA, Alexandria via LeMat-Bulk).

The value obtained for the total energy is -23.43 eV per formula unit.

The structure belongs to space group P4/mmm (No. 123); the cell edges are 5.219, 5.219 and 5.094 Å and the angles 90.00°, 90.00° and 90.00°. Symmetry generates all atoms from La at (0.000, 0.500, 0.000), Pm at (0.000, 0.000, 0.500), Dy at (0.500, 0.500, 0.500) and H at (0.500, 0.500, 0.000).

=====

Record 12
# Dy3Er6Th

An optimized crystal structure of Dy3Er6Th (PBE-GGA, Alexandria via LeMat-Bulk).

The calculation puts the energy above the most stable polymorph in this dataset at 0.1582 eV/atom. The value obtained for the total energy is -45.52 eV per formula unit.

The structure belongs to space group R32 (No. 155, hexagonal axes); the cell edges are 9.7460, 9.7460 and 11.7046 Å and the angles 90.00°, 90.00° and 120.00°. Symmetry generates all atoms from Dy at (0.0000, 0.0000, 0.0000), Dy at (0.0000, 0.0000, 0.2420), Er at (0.0000, 0.3321, 0.5000), Er at (0.0000, 0.6652, 0.0000) and Th at (0.0000, 0.0000, 0.5000).

=====

Computed DOS(E_F), in the same sequence as the records: 11.5 6.6 13.5 7.8 16.1 15.9 0.4 55.1 3.8 22.4 4.0 56.5 states/eV per cell.